# Ba3CdMo2O9, relaxed, DFT GGA+U
# Electronic total energy = -6.5080 eV per atom
# ρ = 6.4 g/cm³
data_Ba3CdMo2O9
_chemical_formula_sum 'Ba3 Cd1 Mo2 O9'
_space_group_name_H-M_alt 'P -3 m 1'
_space_group_IT_number 164
_space_group_name_Hall '-P 3 2"'
_cell_length_a 5.9708
_cell_length_b 5.9708
_cell_length_c 7.2595
_cell_angle_alpha 90.00
_cell_angle_beta 90.00
_cell_angle_gamma 120.00
loop_
_atom_site_label
_atom_site_type_symbol
_atom_site_fract_x
_atom_site_fract_y
_atom_site_fract_z
Ba1 Ba 0.0000 0.0000 0.0000
Ba2 Ba 0.3333 0.6667 0.6710
Cd1 Cd 0.0000 0.0000 0.5000
Mo1 Mo 0.3333 0.6667 0.1669
O1 O 0.0000 0.5000 0.0000
O2 O 0.1759 0.3518 0.3108